Entry 1:
Density functional theory data (PBEsol) for a relaxed YMnSb2Te crystal.

Cell and atoms, written as extended XYZ:
```
5
Lattice="5.646 0.000 0.000 0.000 5.680 0.000 0.000 0.000 5.680" Properties=species:S:1:pos:R:3 pbc="T T T"
Y 0.000 0.000 0.000
Mn 2.823 2.840 2.840
Sb 0.000 2.840 0.000
Te 2.823 0.000 0.000
Sb 0.000 0.000 2.840
```

- Magnetization: 4.773 μB per cell
- Total energy: -25.79 eV/cell
- Symmetry: No. 123
- ΔE_f (raw): 3.4 eV per formula unit

---

Entry 2:
Density functional theory data (PBEsol) for a relaxed MnTlSb4 crystal.

Cell and atoms, written as extended XYZ:
```
6
Lattice="-3.650 -3.386 3.679 2.370 -4.744 3.193 0.585 0.393 6.150" Properties=species:S:1:pos:R:3 pbc="T T T"
Tl -0.521 -5.803 9.767
Mn 0.000 0.000 0.000
Sb -0.260 -2.900 4.881
Sb 0.033 -2.703 7.961
Sb 0.926 -5.276 6.480
Sb -2.088 -4.595 6.723
```

- Magnetization: 4.909 μB per cell
- Total energy: -27.58 eV/cell
- Symmetry: No. 216
- ΔE_f (raw): 3.0 eV per formula unit

---

Entry 3:
Density functional theory data (PBEsol) for a relaxed MnTlSb2 crystal.

Cell and atoms, written as extended XYZ:
```
4
Lattice="-1.677 -3.727 -2.317 3.689 0.146 -2.905 1.175 -0.831 5.249" Properties=species:S:1:pos:R:3 pbc="T T T"
Sb 2.935 -1.238 -0.134
Tl 1.006 -1.790 -2.611
Sb 0.252 -3.174 0.160
Mn 0.000 0.000 0.000
```

- Magnetization: 4.014 μB per cell
- Total energy: -19.88 eV/cell
- E above lowest polymorph: 0.0 kJ/mol of formula units
- Symmetry: No. 139
- ΔE_f (raw): 1.6 eV per formula unit

---

Entry 4:
Density functional theory data (PBEsol) for a relaxed MnTlSb2 crystal.

Cell and atoms, written as extended XYZ:
```
4
Lattice="5.145 0.000 0.000 2.573 4.456 0.000 2.573 1.485 4.201" Properties=species:S:1:pos:R:3 pbc="T T T"
Mn 5.145 2.971 2.100
Sb 7.718 4.456 3.151
Sb 0.000 0.000 0.000
Tl 2.573 1.485 1.050
```

- Magnetization: 4.316 μB per cell
- Total energy: -19.57 eV/cell
- E above lowest polymorph: 30.5 kJ/mol of formula units
- Symmetry: No. 216
- ΔE_f (raw): 1.9 eV per formula unit

---

Entry 5:
Density functional theory data (PBEsol) for a relaxed Mn2TlSb crystal.

Cell and atoms, written as extended XYZ:
```
4
Lattice="3.027 0.000 0.000 0.000 3.027 0.000 0.000 0.000 8.049" Properties=species:S:1:pos:R:3 pbc="T T T"
Tl 1.513 1.513 6.522
Sb 0.000 0.000 3.385
Mn 1.513 1.513 1.685
Mn 0.000 0.000 0.483
```

- Magnetization: 2.762 μB per cell
- Total energy: -25.28 eV/cell
- Symmetry: No. 99
- ΔE_f (raw): 1.4 eV per formula unit

---

Entry 6:
Density functional theory data (PBEsol) for a relaxed MnSbW2 crystal.

Cell and atoms, written as extended XYZ:
```
4
Lattice="3.156 0.000 0.000 0.000 3.156 0.000 0.000 0.000 6.195" Properties=species:S:1:pos:R:3 pbc="T T T"
W 1.578 1.578 1.689
Mn 0.000 0.000 2.964
W 0.000 0.000 0.060
Sb 1.578 1.578 4.579
```

- Magnetization: 0.000 μB per cell
- Total energy: -40.40 eV/cell
- Symmetry: No. 99
- ΔE_f (raw): 1.5 eV per formula unit